DFT (PBE) results for a geometry-optimized ScCuIr structure.

Crystal system: trigonal
Formation energy: -1.33 eV per formula unit
Symmetry: P3m1 (156)

Unit cell a=4.2838 b=4.2838 c=3.0714 alpha=90.00 beta=90.00 gamma=120.00
Fractional coordinates of all 3 atoms:
Cu (0.0000, 0.0000, 0.1655)
Sc (0.6667, 0.3333, 0.6669)
Ir (0.3333, 0.6667, 0.1677)